! Ta2AlGaOs | Alexandria | GGA-PBEsol | relaxed; values from VASP
&SYSTEM
  ibrav = 0, nat = 5, ntyp = 4
/
ATOMIC_SPECIES
Ta 180.95 Ta.upf
Al 26.98 Al.upf
Ga 69.72 Ga.upf
Os 190.23 Os.upf
CELL_PARAMETERS angstrom
-2.484 -0.677 3.358
2.046 -4.113 0.684
3.155 2.025 2.742
ATOMIC_POSITIONS angstrom
Ta 1.023 -2.056 0.342
Ta 1.577 1.013 1.371
Al 0.000 0.000 0.000
Ga -1.242 -0.338 1.679
Os 1.358 -1.382 3.392
! * SG: P4/mmm (123)
! * DFT formation energy: 1.618 eV per atom

---

! In2PtRh | Alexandria | GGA-PBEsol | relaxed; values from VASP
&SYSTEM
  ibrav = 0, nat = 4, ntyp = 3
/
ATOMIC_SPECIES
Rh 102.91 Rh.upf
Pt 195.08 Pt.upf
In 114.82 In.upf
CELL_PARAMETERS angstrom
-0.323 -3.180 0.132
2.801 -0.200 2.046
-3.512 0.558 4.863
ATOMIC_POSITIONS angstrom
Rh 1.239 -1.690 1.089
Pt -0.517 -1.411 3.520
In -2.651 0.421 3.669
In -0.862 0.137 1.193
! * SG: Pmmm (47)
! * DFT formation energy: -0.405 eV per atom

---

! LiTa2Br | Alexandria | GGA-PBEsol | relaxed; values from VASP
&SYSTEM
  ibrav = 0, nat = 4, ntyp = 3
/
ATOMIC_SPECIES
Br 79.90 Br.upf
Ta 180.95 Ta.upf
Li 6.94 Li.upf
CELL_PARAMETERS angstrom
2.909 0.000 0.000
0.000 5.155 0.100
0.000 -2.410 4.558
ATOMIC_POSITIONS angstrom
Br 1.455 0.000 0.000
Ta 0.000 2.578 0.050
Ta 0.000 -1.205 2.279
Li 1.455 1.373 2.329
! * formation energy from raw total energies: 0.721 eV per atom
! * SG: Cmmm (65)

---

! HRuAu2S | Alexandria | GGA-PBEsol | relaxed; values from VASP
&SYSTEM
  ibrav = 0, nat = 5, ntyp = 4
/
ATOMIC_SPECIES
Ru 101.07 Ru.upf
Au 196.97 Au.upf
S 32.06 S.upf
H 1.01 H.upf
CELL_PARAMETERS angstrom
-0.460 3.922 1.508
-4.832 0.014 -1.510
-1.406 -1.889 4.482
ATOMIC_POSITIONS angstrom
Ru 0.000 0.000 0.000
Au -2.416 0.007 -0.755
Au -0.703 -0.944 2.241
S -0.230 1.961 0.754
H -3.349 1.024 2.240
! * E: -0.14840 hartree per atom
! * SG: P4/mmm (123)

---

! SrTl3O5 | Alexandria | GGA-PBEsol | relaxed; values from VASP
&SYSTEM
  ibrav = 0, nat = 18, ntyp = 3
/
ATOMIC_SPECIES
O 16.00 O.upf
Tl 204.38 Tl.upf
Sr 87.62 Sr.upf
CELL_PARAMETERS angstrom
-2.934 -0.590 1.710
3.463 -4.756 0.826
5.420 5.915 11.337
ATOMIC_POSITIONS angstrom
O 6.602 2.057 12.033
O 2.120 -2.337 6.303
O 3.829 2.905 7.570
O -0.652 -1.488 1.840
O 4.371 -0.378 7.367
O 2.065 -0.318 3.432
O 3.884 0.887 10.441
O 0.945 -3.619 3.846
O 1.578 0.946 6.507
O 5.004 4.187 10.027
Tl 1.684 -2.077 2.171
Tl 2.710 2.957 5.668
Tl 4.265 2.645 11.702
Tl 3.188 -0.435 5.317
Tl 0.000 0.000 0.000
Tl 2.761 1.004 8.556
Sr 5.965 -0.371 10.102
Sr -0.015 0.939 3.771
! * formation energy from raw total energies: -1.149 eV per atom
! * SG: Cmcm (63)

---

! K3CoPCO7 | Alexandria | GGA-PBEsol | relaxed; values from VASP
&SYSTEM
  ibrav = 0, nat = 26, ntyp = 5
/
ATOMIC_SPECIES
O 16.00 O.upf
K 39.10 K.upf
P 30.97 P.upf
Co 58.93 Co.upf
C 12.01 C.upf
CELL_PARAMETERS angstrom
-4.617 1.103 -2.903
-1.366 -6.586 -0.331
-4.903 0.614 8.033
ATOMIC_POSITIONS angstrom
O -2.954 -1.308 3.965
O -7.561 -2.465 3.090
O -5.060 -0.804 2.634
O -2.007 -4.790 0.831
O -4.084 -0.784 -1.804
O -3.325 -2.405 1.709
O -6.803 -4.085 6.603
O -2.814 0.057 1.833
O -5.826 -4.065 2.166
O -8.072 -4.926 2.966
O -8.879 -0.079 3.969
O -7.932 -3.561 0.835
O -3.846 -4.351 -0.325
O -7.040 -0.519 5.125
K -5.292 -2.642 4.745
K -5.594 -2.227 0.054
K -4.935 0.954 0.213
K -5.952 -5.823 4.586
K -9.051 -3.541 5.052
K -1.836 -1.328 -0.253
P -7.340 -3.755 2.251
P -3.546 -1.114 2.549
Co -7.010 -0.418 2.990
Co -3.876 -4.452 1.809
C -8.319 -0.254 5.136
C -2.567 -4.615 -0.336
! * formation energy from raw total energies: -1.800 eV per atom
! * SG: P2_1/m (11)

---

! TeOsCl2 | Alexandria | GGA-PBEsol | relaxed; values from VASP
&SYSTEM
  ibrav = 0, nat = 4, ntyp = 3
/
ATOMIC_SPECIES
Cl 35.45 Cl.upf
Os 190.23 Os.upf
Te 127.60 Te.upf
CELL_PARAMETERS angstrom
-0.102 1.189 2.900
2.342 -3.791 1.636
3.754 3.923 -3.172
ATOMIC_POSITIONS angstrom
Cl 3.058 2.267 0.874
Cl 5.957 1.301 1.372
Os 1.162 -1.278 2.260
Te 2.931 -0.949 0.492
! * formation energy from raw total energies: 0.385 eV per atom
! * SG: Imm2 (44)

---

! MgGaN2 | Alexandria | GGA-PBEsol | relaxed; values from VASP
&SYSTEM
  ibrav = 0, nat = 4, ntyp = 3
/
ATOMIC_SPECIES
Mg 24.30 Mg.upf
Ga 69.72 Ga.upf
N 14.01 N.upf
CELL_PARAMETERS angstrom
3.791 0.000 0.000
1.895 3.283 0.000
1.895 1.094 3.095
ATOMIC_POSITIONS angstrom
Mg 0.000 0.000 0.000
Ga 3.791 2.189 1.548
N 5.686 3.283 2.321
N 1.895 1.094 0.774
! * formation energy from raw total energies: 0.461 eV per atom
! * SG: Fm-3m (225)